Computed, not measured: a geometry-optimized CaZrSeBr2 structure at the GGA-PBE level of DFT.

a = 5.2993 Å, b = 5.2993 Å, c = 5.3200 Å
α = 90.00°, β = 90.00°, γ = 90.00°
Closest atoms and distances in Å follow each position.
Space group P4/mmm (No. 123)
Asymmetric unit:
Ca (0.0000, 0.0000, 0.0000) x1  4 Se 3.75, 8 Br 3.75
Zr (0.5000, 0.5000, 0.5000) x1  4 Br 2.65, 2 Se 2.66
Se (0.5000, 0.5000, 0.0000) x1  2 Zr 2.66
Br (0.0000, 0.5000, 0.5000) x2  2 Zr 2.65

Summary:
The value obtained for the relative energy among the computed polymorphs is 0.00 eV/f.u. The value obtained for the uncorrected formation energy is -967 meV/atom.



Computed, not measured: a geometry-optimized HgBiSe3 structure at the GGA-PBE level of DFT.

a = 7.1702 Å, b = 4.5890 Å, c = 10.7959 Å
α = 90.00°, β = 104.53°, γ = 90.00°
Closest atoms and distances in Å follow each position.
Space group P2_1/m (No. 11)
Asymmetric unit:
Hg (0.1182, 0.2500, 0.1459) x2  5 Se 2.72-2.82
Bi (0.2705, 0.2500, 0.5586) x2  6 Se 2.85-3.06
Se (0.0635, 0.7500, 0.6510) x2  1 Hg 2.82, 3 Bi 2.85-3.03
Se (0.2161, 0.7500, 0.0416) x2  3 Hg 2.72
Se (0.4466, 0.2500, 0.3464) x2  1 Hg 2.77, 3 Bi 2.88-3.06

Summary:
The value obtained for the relative energy among the computed polymorphs is 0.00 eV/f.u. The value obtained for the uncorrected formation energy is -47 meV/atom.



Computed, not measured: a geometry-optimized TeBrCl structure at the GGA-PBE level of DFT.

a = 6.0082 Å, b = 6.6348 Å, c = 6.9489 Å
α = 66.84°, β = 88.38°, γ = 85.24°
Closest atoms and distances in Å follow each position.
Space group P-1 (No. 2)
Asymmetric unit:
Te (0.1268, 0.3113, 0.4840) x2  1 Cl 2.40
Br (0.1566, 0.0617, 0.2504) x2  2 Te 2.73-3.06
Cl (0.3594, 0.5583, 0.2279) x2  1 Te 2.40

Summary:
The value obtained for the relative energy among the computed polymorphs is 0.24 eV/f.u. The value obtained for the uncorrected formation energy is -288 meV/atom.



Computed, not measured: a geometry-optimized CrSbRh structure at the GGA-PBE level of DFT.

a = 8.6305 Å, b = 4.4078 Å, c = 5.4715 Å
α = 90.00°, β = 98.23°, γ = 90.00°
Closest atoms and distances in Å follow each position.
Space group C2/m (No. 12)
Asymmetric unit:
Cr (0.0364, 0.0000, 0.3431) x4  1 Cr 1.91
Sb (0.1296, 0.5000, 0.8054) x4  2 Cr 2.69, 5 Rh 2.76-2.88
Rh (0.2062, 0.5000, 0.3194) x4  4 Cr 2.66-2.83, 5 Sb 2.76-2.88

Summary:
The value obtained for the uncorrected formation energy is 21 meV/atom.



Computed, not measured: a geometry-optimized SrAlSiH structure at the GGA-PBE level of DFT.

a = 4.2286 Å, b = 4.2286 Å, c = 4.9199 Å
α = 90.00°, β = 90.00°, γ = 120.00°
Closest atoms and distances in Å follow each position.
Space group P3m1 (No. 156)
Asymmetric unit:
Sr (0.0000, 0.0000, 0.0000) x1  3 H 2.49
Al (0.3333, 0.6667, 0.4596) x1  1 H 1.76
Si (0.6667, 0.3333, 0.5520) x1  3 Al 2.48
H (0.3333, 0.6667, 0.1024) x1  1 Al 1.76

Summary:
The uncorrected energy is -16.0 eV per cell.



Computed, not measured: a geometry-optimized PmPaInAu structure at the GGA-PBE level of DFT.

a = 7.4892 Å, b = 7.4892 Å, c = 7.4892 Å
α = 90.00°, β = 90.00°, γ = 90.00°
Closest atoms and distances in Å follow each position.
Space group F-43m (No. 216)
Asymmetric unit:
Pm (0.0000, 0.0000, 0.0000) x4  4 Au 3.24, 4 In 3.24
Pa (0.0000, 0.0000, 0.5000) x4  4 In 3.24, 4 Au 3.24
In (0.2500, 0.2500, 0.7500) x4  4 Pm 3.24, 4 Pa 3.24
Au (0.2500, 0.2500, 0.2500) x4  4 Pa 3.24, 4 Pm 3.24

Summary:
As for the energy relative to the elements: -0.7 eV/f.u.



Computed, not measured: a geometry-optimized TlCr2Pb structure at the GGA-PBE level of DFT.

a = 7.2367 Å, b = 7.2367 Å, c = 7.2367 Å
α = 90.00°, β = 90.00°, γ = 90.00°
Closest atoms and distances in Å follow each position.
Space group F-43m (No. 216)
Asymmetric unit:
Tl (0.0000, 0.0000, 0.0000) x4  4 Pb 3.13, 4 Cr 3.13
Cr (0.0000, 0.0000, 0.5000) x4  4 Cr 3.13, 4 Pb 3.13
Cr (0.2500, 0.2500, 0.2500) x4  4 Cr 3.13, 4 Tl 3.13
Pb (0.2500, 0.2500, 0.7500) x4  4 Cr 3.13, 4 Tl 3.13

Summary:
The value obtained for the relative energy among the computed polymorphs is 1.74 eV/f.u. As for the energy relative to the elements: 3.4 eV/f.u.



Computed, not measured: a geometry-optimized Cr2OsAu structure at the GGA-PBE level of DFT.

a = 2.9180 Å, b = 4.4553 Å, c = 8.7723 Å
α = 90.00°, β = 90.00°, γ = 90.00°
Closest atoms and distances in Å follow each position.
Space group Cmm2 (No. 35)
Asymmetric unit:
Cr (0.0000, 0.0000, 0.0000) x2  2 Cr 2.29
Cr (0.0000, 0.5000, 0.2014) x2  2 Cr 2.29, 2 Os 2.53
Os (0.0000, 0.0000, 0.4373) x2  2 Cr 2.53, 4 Os 2.66
Au (0.0000, 0.5000, 0.7303) x2  6 Au 2.66-2.92, 2 Cr 2.78, 2 Os 2.96

Summary:
As for the energy relative to the elements: 1.6 eV/f.u.